Compound: NaPb2
Source: the Alexandria database
Functional: PBE-GGA
Structure: relaxed

It has space group I4/mmm (No. 139), with a = 4.155 Å, b = 4.155 Å, c = 10.504 Å, α = 90.00°, β = 90.00° and γ = 90.00°. Symmetry generates all atoms from Na at (0.000, 0.000, 0.000) and Pb at (0.000, 0.000, 0.326).

The magnetization is 0.00 μB per cell. The offset from the most stable computed form comes out at 21 meV/atom. Its density of states at the Fermi level is 2.87 states/eV per cell. The energy of formation from the pure elements is -0.0969 eV per atom. The value obtained for the calculated density is 8.0 g cm⁻³.

***

Compound: KTlInGa
Source: the Alexandria database
Functional: PBE-GGA
Structure: relaxed

It has space group F-43m (No. 216), with a = 7.693 Å, b = 7.693 Å, c = 7.693 Å, α = 90.00°, β = 90.00° and γ = 90.00°. Symmetry generates all atoms from K at (0.000, 0.000, 0.000), Tl at (0.250, 0.250, 0.250), In at (0.000, 0.000, 0.500) and Ga at (0.250, 0.250, 0.750).

The magnetization is 0.00 μB per cell. Its density of states at the Fermi level is 7.08 states/eV per cell. The energy of formation from the pure elements is 0.0125 eV per atom. The value obtained for the calculated density is 6.2 g cm⁻³.

***

Compound: VZnCd3
Source: the Alexandria database
Functional: PBE-GGA
Structure: relaxed

It has space group Pm-3m (No. 221), with a = 4.958 Å, b = 4.958 Å, c = 4.958 Å, α = 90.00°, β = 90.00° and γ = 90.00°. Symmetry generates all atoms from V at (0.000, 0.000, 0.000), Zn at (0.500, 0.500, 0.500) and Cd at (0.000, 0.500, 0.500).

The magnetization is 3.76 μB per cell. The offset from the most stable computed form comes out at 0 meV/atom. Its density of states at the Fermi level is 4.76 states/eV per cell. The energy of formation from the pure elements is 0.7423 eV per atom. The value obtained for the calculated density is 6.2 g cm⁻³.